Material: CuReAuS2
Method: DFT, GGA-PBEsol
State: optimized geometry

Summary:
The calculation puts the volume at 101 Å³/cell. The value obtained for the electronic total energy is -4.376 eV per atom. The density of states at the Fermi level is 2.8 states/eV per cell. Its magnetization is 4.18 Bohr magnetons per cell. Its raw formation energy is 1.6955 eV/atom.

POSCAR file:
```
CuReAuS2
1.0
4.599 0.000 0.000
0.000 4.696 0.000
0.000 0.000 4.696
Re Au S Cu
1 1 2 1
direct
0.500 0.500 0.500
0.000 0.000 0.000
0.000 0.000 0.500
0.000 0.500 0.000
0.500 0.000 0.000
```